No. 1
DFT (GGA-PBE) results for ScTlCr2Mo after structural relaxation.

abc: 4.7649 4.7649 5.0462
angles: 90.00 90.00 90.00
Sites, in units of the cell vectors:
Sc: 0.0000 0.0000 0.0000
Tl: 0.5000 0.5000 0.5000
Cr: 0.0000 0.5000 0.5000
Cr: 0.5000 0.0000 0.5000
Mo: 0.5000 0.5000 0.0000

spin magnetization: 0.00 μB/atom
space group: P4/mmm, No. 123
final energy: -5.56 eV per atom

No. 2
DFT (GGA-PBE) results for La2Ga3SnIr4 after structural relaxation.

abc: 4.3860 4.3860 10.4357
angles: 90.00 90.00 90.00
Sites, in units of the cell vectors:
La: 0.0000 0.5000 0.2324
La: 0.5000 0.0000 0.7676
Ga: 0.0000 0.5000 0.8792
Ga: 0.5000 0.0000 0.1208
Ga: 0.5000 0.5000 0.5000
Sn: 0.0000 0.0000 0.5000
Ir: 0.0000 0.0000 0.0000
Ir: 0.0000 0.5000 0.6397
Ir: 0.5000 0.0000 0.3603
Ir: 0.5000 0.5000 0.0000

spin magnetization: 0.00 μB/atom
space group: P-4m2, No. 115
final energy: -6.54 eV per atom

No. 3
DFT (GGA-PBE) results for Ca3Dy3ErTe8 after structural relaxation.

abc: 8.9042 8.9042 8.9042
angles: 58.82 58.82 58.82
Sites, in units of the cell vectors:
Ca: 0.0000 0.5000 0.5000
Ca: 0.5000 0.0000 0.5000
Ca: 0.5000 0.5000 0.0000
Dy: 0.0000 0.0000 0.5000
Dy: 0.0000 0.5000 0.0000
Dy: 0.5000 0.0000 0.0000
Er: 0.5000 0.5000 0.5000
Te: 0.2457 0.7490 0.7490
Te: 0.2482 0.2482 0.2482
Te: 0.2510 0.2510 0.7543
Te: 0.2510 0.7543 0.2510
Te: 0.7490 0.2457 0.7490
Te: 0.7490 0.7490 0.2457
Te: 0.7518 0.7518 0.7518
Te: 0.7543 0.2510 0.2510

spin magnetization: 0.00 μB/atom
formation energy from raw total energies: -34.123 kcal/mol of atoms
space group: R-3m, No. 166
final energy: -4.78 eV per atom

Which value of spin magnetization does entry 2 give?
0.00 μB/atom

Which of these has the lowest final energy?
La2Ga3SnIr4